Material: Zn2SiIr
Method: DFT, PBE-GGA
State: optimized geometry

formation energy without anion corrections: -0.14 eV per atom
symmetry: I-4m2, No. 119
size of the total moment: 0.0 Bohr magnetons per cell
density of states at the Fermi level: 1.4 states/eV/cell
calculated density: 10.51 Mg/m³

Cell and atoms, written as POSCAR:
```
Zn2SiIr
1.0
4.621 0.001 -0.018
1.402 4.403 0.018
-3.002 -2.215 2.727
Si Ir Zn
1 1 2
direct
0.250 0.750 0.500
0.500 0.500 0.000
0.000 0.000 0.000
0.750 0.250 0.500
```